No. 1
{
  "formula": "ZnRePO2",
  "functional": "PBE",
  "state": "relaxed",
  "lattice_angstrom": [[3.6115, 0.0000, 0.0000], [0.0000, 3.6115, 0.0000], [0.0000, 0.0000, 6.0422]],
  "species": ["Zn", "Re", "P", "O", "O"],
  "frac_coords": [[0.0000, 0.0000, 0.0000], [0.5000, 0.5000, 0.5000], [0.0000, 0.0000, 0.5000], [0.0000, 0.5000, 0.0000], [0.5000, 0.0000, 0.0000]],
  "crystal_system": "tetragonal",
  "energy_ev_per_atom": -5.175,
  "space_group": "No. 123",
  "relative_energy_kj_per_mol_atoms": 130.8
}

No. 2
{
  "formula": "ZnRePO2",
  "functional": "PBE",
  "state": "relaxed",
  "lattice_angstrom": [[3.7719, 0.0000, 0.0000], [0.0000, 3.7719, 0.0000], [0.0000, 0.0000, 5.1123]],
  "species": ["Zn", "Re", "P", "O", "O"],
  "frac_coords": [[0.0000, 0.0000, 0.0000], [0.5000, 0.5000, 0.5000], [0.5000, 0.5000, 0.0000], [0.0000, 0.5000, 0.5000], [0.5000, 0.0000, 0.5000]],
  "crystal_system": "tetragonal",
  "energy_ev_per_atom": -6.530,
  "space_group": "No. 123",
  "relative_energy_kj_per_mol_atoms": 0.0
}

No. 3
{
  "formula": "ZrReP2O",
  "functional": "PBE",
  "state": "relaxed",
  "lattice_angstrom": [[4.8142, 0.0000, 0.0000], [0.0000, 4.8142, 0.0000], [0.0000, 0.0000, 3.6763]],
  "species": ["Zr", "Re", "P", "P", "O"],
  "frac_coords": [[0.0000, 0.0000, 0.0000], [0.5000, 0.5000, 0.5000], [0.0000, 0.5000, 0.5000], [0.5000, 0.0000, 0.5000], [0.5000, 0.5000, 0.0000]],
  "crystal_system": "tetragonal",
  "energy_ev_per_atom": -7.707,
  "space_group": "No. 123",
  "relative_energy_kj_per_mol_atoms": 0.0
}

No. 4
{
  "formula": "ZrReP2O",
  "functional": "PBE",
  "state": "relaxed",
  "lattice_angstrom": [[5.1057, 0.0000, 0.0000], [0.0000, 5.1057, 0.0000], [0.0000, 0.0000, 3.9113]],
  "species": ["Zr", "Re", "P", "P", "O"],
  "frac_coords": [[0.0000, 0.0000, 0.0000], [0.5000, 0.5000, 0.5000], [0.0000, 0.5000, 0.0000], [0.5000, 0.0000, 0.0000], [0.0000, 0.0000, 0.5000]],
  "crystal_system": "tetragonal",
  "energy_ev_per_atom": -6.979,
  "space_group": "No. 123",
  "relative_energy_kj_per_mol_atoms": 70.2
}

No. 5
{
  "formula": "ZrRePO2",
  "functional": "PBE",
  "state": "relaxed",
  "lattice_angstrom": [[3.8072, 0.0000, 0.0000], [0.0000, 3.8072, 0.0000], [0.0000, 0.0000, 5.1976]],
  "species": ["Zr", "Re", "P", "O", "O"],
  "frac_coords": [[0.0000, 0.0000, 0.0000], [0.5000, 0.5000, 0.5000], [0.5000, 0.5000, 0.0000], [0.0000, 0.5000, 0.5000], [0.5000, 0.0000, 0.5000]],
  "crystal_system": "tetragonal",
  "energy_ev_per_atom": -8.141,
  "space_group": "No. 123",
  "relative_energy_kj_per_mol_atoms": 0.0
}

No. 6
{
  "formula": "ZrRePO2",
  "functional": "PBE",
  "state": "relaxed",
  "lattice_angstrom": [[3.9705, 0.0000, 0.0000], [0.0000, 3.9705, 0.0000], [0.0000, 0.0000, 5.7160]],
  "species": ["Zr", "Re", "P", "O", "O"],
  "frac_coords": [[0.0000, 0.0000, 0.0000], [0.5000, 0.5000, 0.5000], [0.0000, 0.0000, 0.5000], [0.0000, 0.5000, 0.0000], [0.5000, 0.0000, 0.0000]],
  "crystal_system": "tetragonal",
  "energy_ev_per_atom": -7.845,
  "space_group": "No. 123",
  "relative_energy_kj_per_mol_atoms": 28.5
}

No. 7
{
  "formula": "P2RhO6",
  "functional": "PBE",
  "state": "relaxed",
  "lattice_angstrom": [[2.4577, 1.4190, 5.4979], [-2.4577, 1.4190, 5.4979], [0.0000, -2.8379, 5.4979]],
  "species": ["P", "P", "Rh", "O", "O", "O", "O", "O", "O"],
  "frac_coords": [[0.0000, 0.0000, 0.0000], [0.1303, 0.1303, 0.1303], [0.3989, 0.3989, 0.3989], [0.0137, 0.2776, 0.6599], [0.1727, 0.8242, 0.4425], [0.2776, 0.6599, 0.0137], [0.4425, 0.1727, 0.8242], [0.6599, 0.0137, 0.2776], [0.8242, 0.4425, 0.1727]],
  "crystal_system": "trigonal",
  "energy_ev_per_atom": -6.637,
  "space_group": "No. 146",
  "relative_energy_kj_per_mol_atoms": 27.7
}

No. 8
{
  "formula": "P2RhO6",
  "functional": "PBE",
  "state": "relaxed",
  "lattice_angstrom": [[4.9291, -4.4804, 0.0000], [4.9291, 4.4804, 0.0000], [-1.0810, 0.0000, 4.9866]],
  "species": ["P", "P", "P", "P", "Rh", "Rh", "O", "O", "O", "O", "O", "O", "O", "O", "O", "O", "O", "O"],
  "frac_coords": [[0.1225, 0.2956, 0.2317], [0.2956, 0.1225, 0.7317], [0.7044, 0.8775, 0.2683], [0.8775, 0.7044, 0.7683], [0.3931, 0.6069, 0.7500], [0.6069, 0.3931, 0.2500], [0.0880, 0.6032, 0.7928], [0.1426, 0.1450, 0.4568], [0.1450, 0.1426, 0.9568], [0.2948, 0.4369, 0.2958], [0.3968, 0.9120, 0.7072], [0.4369, 0.2948, 0.7958], [0.5631, 0.7052, 0.2042], [0.6032, 0.0880, 0.2928], [0.7052, 0.5631, 0.7042], [0.8550, 0.8574, 0.0432], [0.8574, 0.8550, 0.5432], [0.9120, 0.3968, 0.2072]],
  "crystal_system": "monoclinic",
  "energy_ev_per_atom": -6.925,
  "space_group": "No. 15",
  "relative_energy_kj_per_mol_atoms": 0.0
}

No. 9
{
  "formula": "P2RhO2",
  "functional": "PBE",
  "state": "relaxed",
  "lattice_angstrom": [[3.7067, 0.0000, 0.0000], [0.0000, 3.7067, 0.0000], [0.0000, 0.0000, 5.3980]],
  "species": ["P", "P", "Rh", "O", "O"],
  "frac_coords": [[0.0000, 0.0000, 0.0000], [0.5000, 0.5000, 0.0000], [0.0000, 0.0000, 0.5000], [0.0000, 0.5000, 0.5000], [0.5000, 0.0000, 0.5000]],
  "crystal_system": "tetragonal",
  "energy_ev_per_atom": -5.436,
  "space_group": "No. 123",
  "relative_energy_kj_per_mol_atoms": 50.0
}

No. 10
{
  "formula": "PRh2O2",
  "functional": "PBE",
  "state": "relaxed",
  "lattice_angstrom": [[6.7351, 0.0000, 0.0000], [0.0000, 6.7351, 0.0000], [0.0000, 0.0000, 2.8525]],
  "species": ["P", "P", "Rh", "Rh", "Rh", "Rh", "O", "O", "O", "O"],
  "frac_coords": [[0.0000, 0.0000, 0.0000], [0.5000, 0.5000, 0.0000], [0.2249, 0.2751, 0.0000], [0.2751, 0.7751, 0.0000], [0.7249, 0.2249, 0.0000], [0.7751, 0.7249, 0.0000], [0.1315, 0.6315, 0.5000], [0.3685, 0.1315, 0.5000], [0.6315, 0.8685, 0.5000], [0.8685, 0.3685, 0.5000]],
  "crystal_system": "tetragonal",
  "energy_ev_per_atom": -5.962,
  "space_group": "No. 127",
  "relative_energy_kj_per_mol_atoms": 0.0
}

No. 11
{
  "formula": "PRhO4",
  "functional": "PBE",
  "state": "relaxed",
  "lattice_angstrom": [[-5.2793, 6.6636, 3.2390], [5.2793, -6.6636, 3.2390], [5.2793, 6.6636, -3.2390]],
  "species": ["P", "P", "P", "P", "P", "P", "Rh", "Rh", "Rh", "Rh", "Rh", "Rh", "O", "O", "O", "O", "O", "O", "O", "O", "O", "O", "O", "O", "O", "O", "O", "O", "O", "O", "O", "O", "O", "O", "O", "O"],
  "frac_coords": [[0.1744, 0.0000, 0.6744], [0.1744, 0.5000, 0.1744], [0.3323, 0.0823, 0.2500], [0.6677, 0.9177, 0.7500], [0.8256, 0.0000, 0.3256], [0.8256, 0.5000, 0.8256], [0.0000, 0.0000, 0.0000], [0.3810, 0.0000, 0.8810], [0.3810, 0.5000, 0.3810], [0.5000, 0.0000, 0.5000], [0.6190, 0.0000, 0.1190], [0.6190, 0.5000, 0.6190], [0.0774, 0.2139, 0.4140], [0.0774, 0.6634, 0.8635], [0.1073, 0.9533, 0.1541], [0.2310, 0.0873, 0.8696], [0.2310, 0.3614, 0.1437], [0.2823, 0.6386, 0.3696], [0.2823, 0.9127, 0.6437], [0.2992, 0.9533, 0.3459], [0.2999, 0.2139, 0.6365], [0.2999, 0.6634, 0.0860], [0.4784, 0.1065, 0.1281], [0.4784, 0.3503, 0.3719], [0.5216, 0.6497, 0.6281], [0.5216, 0.8935, 0.8719], [0.7001, 0.3366, 0.9140], [0.7001, 0.7861, 0.3635], [0.7008, 0.0467, 0.6541], [0.7177, 0.0873, 0.3563], [0.7177, 0.3614, 0.6304], [0.7690, 0.6386, 0.8563], [0.7690, 0.9127, 0.1304], [0.8927, 0.0467, 0.8459], [0.9226, 0.3366, 0.1365], [0.9226, 0.7861, 0.5860]],
  "crystal_system": "orthorhombic",
  "energy_ev_per_atom": -6.934,
  "space_group": "No. 74"
}

No. 12
{
  "formula": "P2RhO2",
  "functional": "PBE",
  "state": "relaxed",
  "lattice_angstrom": [[3.3113, 0.0000, 0.0000], [0.0000, 3.3113, 0.0000], [0.0000, 0.0000, 6.5513]],
  "species": ["P", "P", "Rh", "O", "O"],
  "frac_coords": [[0.0000, 0.0000, 0.0000], [0.0000, 0.0000, 0.5000], [0.5000, 0.5000, 0.0000], [0.0000, 0.5000, 0.5000], [0.5000, 0.0000, 0.5000]],
  "crystal_system": "tetragonal",
  "energy_ev_per_atom": -5.954,
  "space_group": "No. 123",
  "relative_energy_kj_per_mol_atoms": 0.0
}

No. 13
{
  "formula": "PRhO4",
  "functional": "PBE",
  "state": "relaxed",
  "lattice_angstrom": [[4.4537, 0.0000, 0.0000], [0.0000, 4.4537, 0.0000], [0.0000, 0.0000, 9.3056]],
  "species": ["P", "P", "Rh", "Rh", "O", "O", "O", "O", "O", "O", "O", "O"],
  "frac_coords": [[0.0000, 0.0000, 0.0000], [0.5000, 0.5000, 0.5000], [0.0000, 0.5000, 0.7500], [0.5000, 0.0000, 0.2500], [0.1606, 0.7607, 0.9061], [0.2393, 0.1606, 0.0939], [0.2607, 0.3394, 0.5939], [0.3394, 0.7393, 0.4061], [0.6606, 0.2607, 0.4061], [0.7393, 0.6606, 0.5939], [0.7607, 0.8394, 0.0939], [0.8394, 0.2393, 0.9061]],
  "crystal_system": "tetragonal",
  "energy_ev_per_atom": -6.561,
  "space_group": "No. 82"
}

No. 14
{
  "formula": "P2RhO2",
  "functional": "PBE",
  "state": "relaxed",
  "lattice_angstrom": [[3.8943, 0.0000, 0.0000], [0.0000, 3.8943, 0.0000], [0.0000, 0.0000, 3.9300]],
  "species": ["P", "P", "Rh", "O", "O"],
  "frac_coords": [[0.0000, 0.5000, 0.0000], [0.5000, 0.0000, 0.0000], [0.0000, 0.0000, 0.5000], [0.5000, 0.5000, 0.0000], [0.5000, 0.5000, 0.5000]],
  "crystal_system": "tetragonal",
  "energy_ev_per_atom": -5.052,
  "space_group": "No. 123",
  "relative_energy_kj_per_mol_atoms": 87.1
}

No. 15
{
  "formula": "P2Rh2O7",
  "functional": "PBE",
  "state": "relaxed",
  "lattice_angstrom": [[4.5855, 0.0000, 0.0000], [0.0000, 10.4083, 0.0000], [-1.2670, 0.0000, 5.6024]],
  "species": ["P", "P", "P", "P", "Rh", "Rh", "Rh", "Rh", "O", "O", "O", "O", "O", "O", "O", "O", "O", "O", "O", "O", "O", "O"],
  "frac_coords": [[0.1294, 0.0968, 0.3366], [0.1294, 0.4032, 0.8366], [0.8706, 0.5968, 0.1634], [0.8706, 0.9032, 0.6634], [0.4214, 0.6627, 0.6160], [0.4214, 0.8373, 0.1160], [0.5786, 0.1627, 0.8840], [0.5786, 0.3373, 0.3840], [0.0000, 0.0000, 0.5000], [0.0000, 0.5000, 0.0000], [0.1294, 0.6841, 0.2870], [0.1294, 0.8159, 0.7870], [0.2715, 0.0214, 0.1640], [0.2715, 0.4786, 0.6640], [0.3625, 0.1791, 0.5142], [0.3625, 0.3209, 0.0142], [0.6375, 0.6791, 0.9858], [0.6375, 0.8209, 0.4858], [0.7285, 0.5214, 0.3360], [0.7285, 0.9786, 0.8360], [0.8706, 0.1841, 0.2130], [0.8706, 0.3159, 0.7130]],
  "crystal_system": "monoclinic",
  "energy_ev_per_atom": -6.815,
  "space_group": "No. 14"
}

No. 16
{
  "formula": "P2RhO2",
  "functional": "PBE",
  "state": "relaxed",
  "lattice_angstrom": [[4.6624, 0.0000, 0.0000], [0.0000, 4.6624, 0.0000], [0.0000, 0.0000, 3.6813]],
  "species": ["P", "P", "Rh", "O", "O"],
  "frac_coords": [[0.0000, 0.5000, 0.0000], [0.5000, 0.0000, 0.0000], [0.0000, 0.0000, 0.0000], [0.0000, 0.0000, 0.5000], [0.5000, 0.5000, 0.5000]],
  "crystal_system": "tetragonal",
  "energy_ev_per_atom": -4.903,
  "space_group": "No. 123",
  "relative_energy_kj_per_mol_atoms": 101.4
}

No. 17
{
  "formula": "PRhO4",
  "functional": "PBE",
  "state": "relaxed",
  "lattice_angstrom": [[4.7605, 0.0000, 0.0000], [0.0000, 4.6382, 0.0000], [-0.3057, 0.0000, 4.6247]],
  "species": ["P", "P", "Rh", "Rh", "O", "O", "O", "O", "O", "O", "O", "O"],
  "frac_coords": [[0.0000, 0.0000, 0.0000], [0.0000, 0.5000, 0.5000], [0.5000, 0.0000, 0.5000], [0.5000, 0.5000, 0.0000], [0.1274, 0.1625, 0.6855], [0.1274, 0.3375, 0.1855], [0.3123, 0.6282, 0.6096], [0.3123, 0.8718, 0.1096], [0.6877, 0.1282, 0.8904], [0.6877, 0.3718, 0.3904], [0.8726, 0.6625, 0.8145], [0.8726, 0.8375, 0.3145]],
  "crystal_system": "monoclinic",
  "energy_ev_per_atom": -6.496,
  "space_group": "No. 14"
}

No. 18
{
  "formula": "PRh2O2",
  "functional": "PBE",
  "state": "relaxed",
  "lattice_angstrom": [[3.3954, 0.0000, 0.0000], [0.0000, 3.3954, 0.0000], [0.0000, 0.0000, 10.4592]],
  "species": ["P", "P", "Rh", "Rh", "Rh", "Rh", "O", "O", "O", "O"],
  "frac_coords": [[0.0000, 0.0000, 0.0000], [0.5000, 0.5000, 0.5000], [0.0000, 0.0000, 0.3751], [0.0000, 0.0000, 0.6249], [0.5000, 0.5000, 0.1249], [0.5000, 0.5000, 0.8751], [0.0000, 0.5000, 0.2500], [0.0000, 0.5000, 0.7500], [0.5000, 0.0000, 0.2500], [0.5000, 0.0000, 0.7500]],
  "crystal_system": "tetragonal",
  "energy_ev_per_atom": -5.939,
  "space_group": "No. 139",
  "relative_energy_kj_per_mol_atoms": 2.2
}

No. 19
{
  "formula": "P2RuRhO",
  "functional": "PBE",
  "state": "relaxed",
  "lattice_angstrom": [[4.7091, 0.0000, 0.0000], [0.0000, 4.7091, 0.0000], [0.0000, 0.0000, 3.5791]],
  "species": ["P", "P", "Ru", "Rh", "O"],
  "frac_coords": [[0.0000, 0.5000, 0.0000], [0.5000, 0.0000, 0.0000], [0.0000, 0.0000, 0.5000], [0.5000, 0.5000, 0.0000], [0.5000, 0.5000, 0.5000]],
  "crystal_system": "tetragonal",
  "energy_ev_per_atom": -5.858,
  "space_group": "No. 123",
  "relative_energy_kj_per_mol_atoms": 31.2
}

No. 20
{
  "formula": "P2RuRhO",
  "functional": "PBE",
  "state": "relaxed",
  "lattice_angstrom": [[4.7095, 0.0000, 0.0000], [0.0000, 4.7095, 0.0000], [0.0000, 0.0000, 3.5696]],
  "species": ["P", "P", "Ru", "Rh", "O"],
  "frac_coords": [[0.0000, 0.5000, 0.0000], [0.5000, 0.0000, 0.0000], [0.0000, 0.0000, 0.0000], [0.5000, 0.5000, 0.5000], [0.0000, 0.0000, 0.5000]],
  "crystal_system": "tetragonal",
  "energy_ev_per_atom": -6.181,
  "space_group": "No. 123",
  "relative_energy_kj_per_mol_atoms": 0.0
}

No. 21
{
  "formula": "PRhS2O",
  "functional": "PBE",
  "state": "relaxed",
  "lattice_angstrom": [[4.2539, 0.0000, 0.0000], [0.0000, 4.2539, 0.0000], [0.0000, 0.0000, 3.9470]],
  "species": ["P", "Rh", "S", "S", "O"],
  "frac_coords": [[0.0000, 0.0000, 0.0000], [0.5000, 0.5000, 0.0000], [0.0000, 0.5000, 0.5000], [0.5000, 0.0000, 0.5000], [0.0000, 0.0000, 0.5000]],
  "crystal_system": "tetragonal",
  "energy_ev_per_atom": -4.389,
  "space_group": "No. 123",
  "relative_energy_kj_per_mol_atoms": 0.0
}

No. 22
{
  "formula": "PRhSO2",
  "functional": "PBE",
  "state": "relaxed",
  "lattice_angstrom": [[3.6905, 0.0000, 0.0000], [0.0000, 3.6905, 0.0000], [0.0000, 0.0000, 5.4575]],
  "species": ["P", "Rh", "S", "O", "O"],
  "frac_coords": [[0.0000, 0.0000, 0.0000], [0.0000, 0.0000, 0.5000], [0.5000, 0.5000, 0.0000], [0.0000, 0.5000, 0.5000], [0.5000, 0.0000, 0.5000]],
  "crystal_system": "tetragonal",
  "energy_ev_per_atom": -5.313,
  "space_group": "No. 123"
}

No. 23
{
  "formula": "PRhS2O",
  "functional": "PBE",
  "state": "relaxed",
  "lattice_angstrom": [[4.5436, 0.0000, 0.0000], [0.0000, 4.5436, 0.0000], [0.0000, 0.0000, 4.6524]],
  "species": ["P", "Rh", "S", "S", "O"],
  "frac_coords": [[0.0000, 0.0000, 0.0000], [0.0000, 0.0000, 0.5000], [0.0000, 0.5000, 0.5000], [0.5000, 0.0000, 0.5000], [0.5000, 0.5000, 0.0000]],
  "crystal_system": "tetragonal",
  "energy_ev_per_atom": -4.081,
  "space_group": "No. 123",
  "relative_energy_kj_per_mol_atoms": 29.7
}

No. 24
{
  "formula": "PRhSO2",
  "functional": "PBE",
  "state": "relaxed",
  "lattice_angstrom": [[3.4976, 0.0000, 0.0000], [0.0000, 3.4976, 0.0000], [0.0000, 0.0000, 4.9465]],
  "species": ["P", "Rh", "S", "O", "O"],
  "frac_coords": [[0.0000, 0.0000, 0.0000], [0.5000, 0.5000, 0.0000], [0.0000, 0.0000, 0.5000], [0.0000, 0.5000, 0.5000], [0.5000, 0.0000, 0.5000]],
  "crystal_system": "tetragonal",
  "energy_ev_per_atom": -5.106,
  "space_group": "No. 123"
}

no.,E_form (uncorrected) (kJ/mol of formula units)
1,306
2,-348
3,-170
4,181
5,-423
6,-280
7,-1140
8,-1390
9,88
10,21
11,-869
12,-162
13,-653
14,273
15,-1422
16,345
17,-616
18,32
19,301
20,145
21,389
22,23
23,537
24,123